4
Lattice="4.8989 0.0139 0.0000 1.7700 4.5680 0.0000 -3.3344 -2.2910 2.7627" Properties=species:S:1:pos:R:3 comment="BeTlIr2, relaxed, DFT PBE" ef_ev_per_atom=0.51 polymorph_energy_ev_per_atom=0.375 e_tot_ev_per_atom=-5.443 sg="I-4m2 (119)" dos_ef_per_ev_atom=1.0992 pbc="T T T"
Ir 0.8850 2.2840 1.3814
Tl 3.3345 2.2910 0.0000
Be 2.4495 0.0070 1.3814
Ir 0.0000 0.0000 0.0000